Below is a geometry-optimized CoBrO2 structure, with properties calculated at the GGA+U level.

```
8
Lattice="-1.098 0.557 -5.631 3.320 -4.581 -1.101 -2.133 -4.457 -2.975" Properties=species:S:1:pos:R:3 pbc="T T T"
Br -1.060 -2.956 -5.986
O 0.066 -6.000 -5.032
O -0.529 -1.478 -2.989
Co 1.149 -5.525 -3.721
O -0.488 -5.715 -7.846
Br 0.000 0.000 0.000
Co 1.111 -2.012 -3.366
O 1.129 -3.768 -3.548
```

Computed properties:
Distance to the lowest polymorph of the same formula in kJ/mol of atoms: 27.85
Space group: Fd-3m (227)